DFT (PBEsol) results for a relaxed NaY3Co crystal.

Calculated formation energy = 1.51 eV per atom

Lattice parameters (Å, degrees): 5.310 5.310 5.310 90.00 90.00 90.00
Fractional coordinates of all 5 atoms:
Na  0.000  0.000  0.000
Y  0.000  0.000  0.500
Y  0.000  0.500  0.000
Y  0.500  0.000  0.000
Co  0.500  0.500  0.500